VASP calculation (GGA+U) on a relaxed CsMn2CoF8 crystal.

Lattice parameters (Å, degrees): 4.802 4.841 8.783 91.51 93.06 92.99
Space group P-1 (No. 2)
Unique sites:
Cs 0.000 0.000 0.000
Mn 0.476 0.498 0.319
Co 0.000 0.000 0.500
F 0.211 0.175 0.332
F 0.226 0.207 0.677
F 0.288 0.685 0.511
F 0.331 0.567 0.121

Computed properties:
VASP energy (eV per atom): -5.420
Density of states at the Fermi level (states/eV per atom): 0.34
Size of the total moment (μB per cell): 12.000